Record 1
{
  "formula": "RbCuCl3",
  "functional": "meta-GGA SCAN",
  "state": "single point on PBEsol structure",
  "crystal_system": "hexagonal",
  "lattice_angstrom": [[6.8346, 0.0000, 0.0000], [-3.4173, 5.9190, 0.0000], [0.0000, 0.0000, 5.8185]],
  "species": ["Rb", "Rb", "Cu", "Cu", "Cl", "Cl", "Cl", "Cl", "Cl", "Cl"],
  "fractional_positions": [[0.3333, 0.6667, 0.2500], [0.6667, 0.3333, 0.7500], [0.0000, 0.0000, 0.0000], [0.0000, 0.0000, 0.5000], [0.1618, 0.3237, 0.7500], [0.1618, 0.8382, 0.7500], [0.3237, 0.1618, 0.2500], [0.6763, 0.8382, 0.7500], [0.8382, 0.1618, 0.2500], [0.8382, 0.6763, 0.2500]]
}



Record 2
{
  "formula": "RbCuCl3",
  "functional": "meta-GGA SCAN",
  "state": "single point on PBEsol structure",
  "crystal_system": "monoclinic",
  "lattice_angstrom": [[5.9697, -3.4083, 0.0000], [5.9697, 3.4083, 0.0000], [-0.1698, 0.0000, 12.1815]],
  "species": ["Rb", "Rb", "Rb", "Rb", "Cu", "Cu", "Cu", "Cu", "Cl", "Cl", "Cl", "Cl", "Cl", "Cl", "Cl", "Cl", "Cl", "Cl", "Cl", "Cl"],
  "fractional_positions": [[0.1461, 0.1892, 0.3736], [0.1892, 0.1461, 0.8736], [0.8108, 0.8539, 0.1264], [0.8539, 0.8108, 0.6264], [0.4521, 0.5479, 0.2500], [0.5000, 0.5000, 0.0000], [0.5000, 0.5000, 0.5000], [0.5479, 0.4521, 0.7500], [0.1348, 0.6948, 0.3537], [0.2325, 0.6231, 0.8613], [0.3051, 0.8652, 0.1463], [0.3161, 0.3558, 0.0913], [0.3558, 0.3161, 0.5913], [0.3769, 0.7675, 0.6387], [0.6231, 0.2325, 0.3613], [0.6442, 0.6839, 0.4087], [0.6839, 0.6442, 0.9087], [0.6948, 0.1348, 0.8537], [0.7675, 0.3769, 0.1387], [0.8652, 0.3051, 0.6463]]
}



Record 3
{
  "formula": "Rb2CuCl4",
  "functional": "meta-GGA SCAN",
  "state": "single point on PBEsol structure",
  "crystal_system": "orthorhombic",
  "lattice_angstrom": [[7.7809, -3.4856, 0.0000], [7.7809, 3.4856, 0.0000], [0.0000, 0.0000, 6.9715]],
  "species": ["Rb", "Rb", "Rb", "Rb", "Cu", "Cu", "Cl", "Cl", "Cl", "Cl", "Cl", "Cl", "Cl", "Cl"],
  "fractional_positions": [[0.1396, 0.1396, 0.0000], [0.3604, 0.3604, 0.5000], [0.6396, 0.6396, 0.5000], [0.8604, 0.8604, 0.0000], [0.0000, 0.0000, 0.5000], [0.5000, 0.5000, 0.0000], [0.1506, 0.1506, 0.5000], [0.2318, 0.7682, 0.7318], [0.2682, 0.7318, 0.2318], [0.3494, 0.3494, 0.0000], [0.6506, 0.6506, 0.0000], [0.7318, 0.2682, 0.7682], [0.7682, 0.2318, 0.2682], [0.8494, 0.8494, 0.5000]]
}



Record 4
{
  "formula": "RbCu3Cl",
  "functional": "meta-GGA SCAN",
  "state": "single point on PBEsol structure",
  "crystal_system": "cubic",
  "lattice_angstrom": [[5.2706, 0.0000, 0.0000], [0.0000, 5.2706, 0.0000], [0.0000, 0.0000, 5.2706]],
  "species": ["Rb", "Cu", "Cu", "Cu", "Cl"],
  "fractional_positions": [[0.0000, 0.0000, 0.0000], [0.0000, 0.0000, 0.5000], [0.0000, 0.5000, 0.0000], [0.5000, 0.0000, 0.0000], [0.5000, 0.5000, 0.5000]]
}



Record 5
{
  "formula": "Rb2CuCl3",
  "functional": "meta-GGA SCAN",
  "state": "single point on PBEsol structure",
  "crystal_system": "orthorhombic",
  "lattice_angstrom": [[12.4247, 0.0000, 0.0000], [0.0000, 4.1362, 0.0000], [0.0000, 0.0000, 12.7981]],
  "species": ["Rb", "Rb", "Rb", "Rb", "Rb", "Rb", "Rb", "Rb", "Cu", "Cu", "Cu", "Cu", "Cl", "Cl", "Cl", "Cl", "Cl", "Cl", "Cl", "Cl", "Cl", "Cl", "Cl", "Cl"],
  "fractional_positions": [[0.0125, 0.2500, 0.1731], [0.1722, 0.2500, 0.5265], [0.3278, 0.7500, 0.0265], [0.4875, 0.7500, 0.6731], [0.5125, 0.2500, 0.3269], [0.6722, 0.2500, 0.9735], [0.8278, 0.7500, 0.4735], [0.9875, 0.7500, 0.8269], [0.2435, 0.7500, 0.3078], [0.2565, 0.2500, 0.8078], [0.7435, 0.7500, 0.1922], [0.7565, 0.2500, 0.6922], [0.0657, 0.7500, 0.3602], [0.1412, 0.2500, 0.9487], [0.2285, 0.7500, 0.7243], [0.2715, 0.2500, 0.2243], [0.3588, 0.7500, 0.4487], [0.4343, 0.2500, 0.8602], [0.5657, 0.7500, 0.1398], [0.6412, 0.2500, 0.5513], [0.7285, 0.7500, 0.7757], [0.7715, 0.2500, 0.2757], [0.8588, 0.7500, 0.0513], [0.9343, 0.2500, 0.6398]]
}



Record 6
{
  "formula": "Rb3Cu2Cl7",
  "functional": "meta-GGA SCAN",
  "state": "single point on PBEsol structure",
  "crystal_system": "orthorhombic",
  "lattice_angstrom": [[3.4937, -12.4021, 0.0000], [3.4937, 12.4021, 0.0000], [0.0000, 0.0000, 6.9794]],
  "species": ["Rb", "Rb", "Rb", "Rb", "Rb", "Rb", "Cu", "Cu", "Cu", "Cu", "Cl", "Cl", "Cl", "Cl", "Cl", "Cl", "Cl", "Cl", "Cl", "Cl", "Cl", "Cl", "Cl", "Cl"],
  "fractional_positions": [[0.0703, 0.9297, 0.7500], [0.2500, 0.7500, 0.7500], [0.4297, 0.5703, 0.7500], [0.5703, 0.4297, 0.2500], [0.7500, 0.2500, 0.2500], [0.9297, 0.0703, 0.2500], [0.1551, 0.8449, 0.2500], [0.3449, 0.6551, 0.2500], [0.6551, 0.3449, 0.7500], [0.8449, 0.1551, 0.7500], [0.0610, 0.9390, 0.2500], [0.0685, 0.3850, 0.5233], [0.1150, 0.4315, 0.0233], [0.2500, 0.7500, 0.2500], [0.3850, 0.0685, 0.0233], [0.4315, 0.1150, 0.5233], [0.4390, 0.5610, 0.2500], [0.5610, 0.4390, 0.7500], [0.5685, 0.8850, 0.4767], [0.6150, 0.9315, 0.9767], [0.7500, 0.2500, 0.7500], [0.8850, 0.5685, 0.9767], [0.9315, 0.6150, 0.4767], [0.9390, 0.0610, 0.7500]]
}



In g/cm³, the theoretical density values for the records above are, in order, 3.603, 3.422, 3.305, 3.533, 3.442, 3.469.
In meV/atom, the energy relative to the elements, uncorrected values for the records above are, in order, -1268, -1312, -1570, 1749, -1627, -1448.